Entry 1:
PBE Tl2CuPb, relaxed; E_form = 0.19 eV per atom; symmetry = Imm2 (44)
1.0
-5.621 -3.239 -1.841
-0.237 -6.436 -1.999
1.408 4.673 4.653
Cu Pb Tl
1 1 2
Direct
0.503 0.503 0.000
0.694 0.194 0.500
0.997 0.997 0.000
0.305 0.805 0.500



Entry 2:
PBE TlCuPb, relaxed; E_form = 0.11 eV per atom; symmetry = P2_1/m (11)
1.0
-2.634 3.200 -0.534
-2.969 -2.338 0.639
1.933 3.047 8.727
Pb Tl Cu
2 2 2
Direct
0.649 0.780 0.383
0.149 0.944 0.708
0.148 0.163 0.148
0.648 0.560 0.943
0.149 0.323 0.468
0.649 0.401 0.623



Entry 3:
PBE Tl3CuPb, relaxed; E_form = 0.21 eV per atom; symmetry = Pm-3m (221)
1.0
-4.678 0.972 -2.255
-1.340 -5.076 0.593
-2.057 1.096 4.741
Pb Tl Cu
1 3 1
Direct
0.500 0.500 0.500
0.000 0.500 0.000
0.000 0.000 0.500
0.500 0.000 0.000
0.000 0.000 0.000



Entry 4:
PBE Tl2CuPb2, relaxed; E_form = 0.25 eV per atom; symmetry = P4/mbm (127)
1.0
7.305 0.000 0.000
0.000 7.305 0.000
0.000 0.000 5.275
Pb Tl Cu
4 4 2
Direct
0.165 0.665 0.500
0.665 0.835 0.500
0.835 0.335 0.500
0.335 0.165 0.500
0.345 0.845 0.000
0.845 0.655 0.000
0.655 0.155 0.000
0.155 0.345 0.000
0.000 0.000 0.000
0.500 0.500 0.000



Entry 5:
PBE TlCuPb, relaxed; E_form = 0.14 eV per atom; symmetry = P1 (1)
1.0
-0.833 2.545 2.686
4.385 -5.260 0.962
2.077 7.237 -3.331
Pb Tl Cu
2 2 2
Direct
0.502 0.237 0.373
0.480 0.629 0.221
0.888 0.919 0.930
0.869 0.307 0.771
0.059 0.877 0.536
0.300 0.661 0.611



Entry 6:
PBE TlCuPb, relaxed; E_form = 0.21 eV per atom; symmetry = P3m1 (156)
1.0
3.725 0.000 0.000
-1.862 3.226 0.000
0.000 0.000 6.316
Cu Pb Tl
1 1 1
Direct
0.000 0.000 0.000
0.333 0.667 0.283
0.667 0.333 0.716



Magnetic moment list, top to bottom, in μB per cell: 0.0; 0.0; 0.0; 0.0; 0.0; 0.0
V list, top to bottom, in A^3/atom: 26.68; 24.70; 29.50; 28.15; 24.67; 25.29
Total DFT energy (no corrections) list, top to bottom, in eV for the cell shown: -11.78; -19.68; -13.87; -30.00; -19.51; -9.53